The following is a PBE with a Hubbard U calculation of a geometry-optimized FeOF structure, from Alexandria via LeMat-Bulk.

Lattice parameters (Å, degrees): 3.0428 4.5944 13.9462 89.62 90.00 90.00
Last column: nearest neighbours and their distance in Å.
Atoms (fractional coordinates):
Fe 0.0000 0.0053 0.0020  3 O 1.90-1.91
Fe 0.5000 0.5069 0.1526  3 O 1.93-1.99, 2 F 2.15
Fe 0.0000 0.0281 0.3505  2 O 1.92, 4 F 2.00-2.07
Fe 0.5000 0.4624 0.5139  3 O 1.87-1.89, 3 F 1.97-2.06
Fe 0.0000 0.0143 0.6723  4 O 1.88-1.91, 2 F 2.07
Fe 0.5000 0.5040 0.8115  3 O 1.84-1.90, 3 F 2.03
O 0.5000 0.1999 0.0527  3 Fe 1.90-1.99
O 0.0000 0.7125 0.0997  3 Fe 1.91-1.93
O 0.5000 0.2039 0.4109  3 Fe 1.87-1.92
O 0.0000 0.2892 0.5717  3 Fe 1.88-1.89
O 0.5000 0.1884 0.7314  3 Fe 1.84-1.91
O 0.0000 0.6924 0.7589  3 Fe 1.90
F 0.0000 0.2996 0.2376  3 Fe 2.00-2.15
F 0.5000 0.8066 0.2819  3 Fe 2.07-2.28
F 0.0000 0.6826 0.4453  3 Fe 2.06
F 0.5000 0.7973 0.6016  3 Fe 1.97-2.07
F 0.0000 0.3117 0.8845  3 Fe 2.03-2.15
F 0.5000 0.7949 0.9209  3 Fe 2.03-2.13

Values from the calculation:
density of states at the Fermi level: 0.124 states/eV/atom
total DFT energy (no corrections): -5.657 eV/atom
V: 10.83 A^3/atom
total magnetization: 12.56 μB/cell
symmetry: No. 6